[1]
An optimized crystal structure of BiWO4. Source: the Alexandria database, functional GGA+U.

Properties
total energy: -6.77 eV/atom

Unit cell a=6.8951 b=6.8951 c=6.8951 alpha=133.85 beta=133.85 gamma=67.32
Closest atoms and distances in Å follow each position.
Sites, in units of the cell vectors:
O: 0.8428 0.4160 0.9256  1 W 1.91
Bi: 0.2500 0.7500 0.5000  8 O 2.41-2.53
O: 0.4904 0.9172 0.0744  1 W 1.91
O: 0.1660 0.7404 0.0732  1 W 1.91
O: 0.5840 0.5096 0.4268  1 W 1.91
O: 0.2596 0.3328 0.4256  1 W 1.91
W: 0.0000 0.0000 0.0000  4 O 1.91
O: 0.9072 0.8340 0.5744  1 W 1.91
W: 0.7500 0.2500 0.5000  4 O 1.91
O: 0.6672 0.0928 0.9268  1 W 1.91
Bi: 0.5000 0.5000 0.0000  8 O 2.41-2.53
O: 0.0828 0.1572 0.5732  1 W 1.91



[2]
An optimized crystal structure of BiWO2. Source: the Alexandria database, functional GGA+U.

Properties
total energy: -5.79 eV/atom

Unit cell a=7.8370 b=7.8370 c=7.8370 alpha=131.11 beta=131.11 gamma=71.64
Closest atoms and distances in Å follow each position.
Sites, in units of the cell vectors:
W: 0.3750 0.1250 0.2500  4 O 2.20
O: 0.1861 0.9895 0.8035  2 W 2.20, 1 Bi 2.43
Bi: 0.3750 0.6250 0.7500  6 O 2.43-2.67
O: 0.0105 0.8139 0.1965  2 W 2.20, 1 Bi 2.43
O: 0.5639 0.8674 0.3035  2 W 2.20, 1 Bi 2.43
O: 0.6174 0.8139 0.8035  2 W 2.20, 1 Bi 2.43
W: 0.8750 0.1250 0.2500  4 O 2.20
O: 0.5639 0.2605 0.6965  2 W 2.20, 1 Bi 2.43
Bi: 0.3750 0.6250 0.2500  6 O 2.43-2.67
O: 0.1326 0.4361 0.6965  2 W 2.20, 1 Bi 2.43
Bi: 0.3750 0.1250 0.7500  6 O 2.43-2.67
W: 0.8750 0.1250 0.7500  4 O 2.20
O: 0.1861 0.3826 0.1965  2 W 2.20, 1 Bi 2.43
O: 0.7395 0.4361 0.3035  2 W 2.20, 1 Bi 2.43
W: 0.8750 0.6250 0.7500  4 O 2.20
Bi: 0.8750 0.6250 0.2500  6 O 2.43-2.67



[3]
An optimized crystal structure of BiW3O. Source: the Alexandria database, functional GGA+U.

Properties
offset from the most stable computed form: 0.000 eV/atom

Unit cell a=4.3889 b=4.3889 c=4.3889 alpha=90.00 beta=90.00 gamma=90.00
Closest atoms and distances in Å follow each position.
Sites, in units of the cell vectors:
W: 0.0000 0.5000 0.0000  2 O 2.19
W: 0.5000 0.0000 0.0000  2 O 2.19
W: 0.0000 0.0000 0.5000  2 O 2.19
O: 0.0000 0.0000 0.0000  6 W 2.19
Bi: 0.5000 0.5000 0.5000  12 W 3.10



[4]
An optimized crystal structure of BiWO4. Source: the Alexandria database, functional GGA+U.

Properties
total energy: -6.74 eV/atom

Unit cell a=3.9432 b=3.9432 c=6.8980 alpha=106.61 beta=106.61 gamma=90.00
Closest atoms and distances in Å follow each position.
Sites, in units of the cell vectors:
O: 0.7560 0.7560 0.5120  2 W 1.97
O: 0.2440 0.2440 0.4880  2 W 1.97
O: 0.5859 0.0859 0.1719  1 W 2.07, 2 Bi 2.25
W: 0.7500 0.2500 0.5000  6 O 1.97-2.07
Bi: 0.0000 0.0000 0.0000  4 O 2.25
O: 0.9141 0.4141 0.8281  1 W 2.07, 2 Bi 2.25



[5]
An optimized crystal structure of Bi2WO. Source: the Alexandria database, functional GGA+U.

Properties
total energy: -4.45 eV/atom

Unit cell a=7.0176 b=7.0176 c=6.4071 alpha=56.79 beta=56.79 gamma=90.00
Closest atoms and distances in Å follow each position.
Sites, in units of the cell vectors:
O: 0.2500 0.7500 0.5000  4 Bi 2.37
Bi: 0.5505 0.1250 0.2500  2 O 2.37
Bi: 0.8750 0.8005 0.7500  2 O 2.37
O: 0.5000 0.5000 0.0000  4 Bi 2.37
W: 0.7500 0.2500 0.5000  4 Bi 3.05
Bi: 0.1995 0.6250 0.2500  2 O 2.37
Bi: 0.3750 0.4495 0.7500  2 O 2.37
W: 0.0000 0.0000 0.0000  4 Bi 3.05



[6]
An optimized crystal structure of YBi2WO8. Source: the Alexandria database, functional GGA+U.

Properties
total energy: -6.99 eV/atom

Unit cell a=5.1557 b=5.1531 c=6.8294 alpha=90.00 beta=90.00 gamma=89.96
Closest atoms and distances in Å follow each position.
Sites, in units of the cell vectors:
O: 0.3096 0.3085 0.5000  2 Bi 2.22, 1 Y 2.25
O: 0.6904 0.6915 0.5000  2 Bi 2.22, 1 Y 2.25
Bi: 0.5000 0.5000 0.7538  6 O 2.22-2.39
O: 0.1784 0.8205 0.7836  1 W 1.97
W: 0.0000 0.0000 0.0000  6 O 1.95-1.97
O: 0.7319 0.7332 0.0000  1 W 1.95
Bi: 0.5000 0.5000 0.2462  6 O 2.22-2.39
O: 0.8216 0.1795 0.2164  1 W 1.97
Y: 0.0000 0.0000 0.5000  6 O 2.25-2.33
O: 0.8216 0.1795 0.7836  1 W 1.97
O: 0.1784 0.8205 0.2164  1 W 1.97
O: 0.2681 0.2668 0.0000  1 W 1.95